{"formula": "SiIrWO2", "functional": "GGA+U", "state": "optimized geometry", "lattice_angstrom": [[3.702, 0.000, 0.000], [0.000, 3.702, 0.000], [0.000, 0.000, 5.997]], "species": ["Si", "Ir", "W", "O", "O"], "frac_coords": [[0.000, 0.000, 0.000], [0.500, 0.500, 0.500], [0.500, 0.500, 0.000], [0.000, 0.500, 0.500], [0.500, 0.000, 0.500]], "e_tot_ev_per_atom": -6.071, "m_tot_mub_per_fu": 1.19}